Entry 1:
! BaPa2VO8 (PBE+U, optimized geometry); values from VASP
! Magnetization in μB/cell: 0.997
! Density of states at the Fermi level in states/eV/atom: 0.00
! Raw total energy in eV per cell: -103.56
! SG: P-1 (2)
&SYSTEM
  ibrav = 0, nat = 12, ntyp = 4
/
ATOMIC_SPECIES
O 16.00 O.upf
Pa 231.04 Pa.upf
V 50.94 V.upf
Ba 137.33 Ba.upf
CELL_PARAMETERS angstrom
-3.733 3.144 -1.570
-3.699 -3.444 0.866
-0.742 2.489 6.680
ATOMIC_POSITIONS angstrom
O -4.338 3.800 4.285
O -2.879 1.170 3.091
O -5.295 1.020 2.886
O -5.153 -0.216 -0.484
O -3.021 2.405 6.461
O -3.837 -1.611 1.691
O -4.301 -0.175 5.855
O -3.873 2.364 0.121
Pa -4.278 1.752 4.721
Pa -3.896 0.437 1.255
V 0.000 0.000 0.000
Ba -0.371 1.245 3.340

***

Entry 2:
! Ba3PaV2O9 (PBE+U, optimized geometry); values from VASP
! Magnetization in μB/cell: 3.000
! Density of states at the Fermi level in states/eV/atom: 0.20
! Raw total energy in eV per cell: -116.34
! SG: P-3m1 (164)
&SYSTEM
  ibrav = 0, nat = 15, ntyp = 4
/
ATOMIC_SPECIES
V 50.94 V.upf
Pa 231.04 Pa.upf
O 16.00 O.upf
Ba 137.33 Ba.upf
CELL_PARAMETERS angstrom
-5.538 -0.345 1.963
4.450 -1.781 3.416
0.558 6.662 2.747
ATOMIC_POSITIONS angstrom
V -1.734 4.836 4.781
V 1.204 -0.300 3.345
Pa 0.279 3.331 1.373
O -1.289 3.066 5.727
O -3.438 3.926 4.076
O -0.544 -1.063 2.689
O 0.233 0.443 4.998
O 0.759 1.470 2.399
O 2.908 0.610 4.049
O 2.225 -0.890 1.708
O -0.763 4.093 3.128
O -2.769 -0.173 0.982
Ba -2.032 1.285 3.317
Ba 0.000 0.000 0.000
Ba 1.502 3.251 4.809

***

Entry 3:
! Ba2PaWO6 (PBE+U, optimized geometry); values from VASP
! Magnetization in μB/cell: 6.000
! Density of states at the Fermi level in states/eV/atom: 0.00
! Raw total energy in eV per cell: -158.71
! SG: Fm-3m (225)
&SYSTEM
  ibrav = 0, nat = 20, ntyp = 4
/
ATOMIC_SPECIES
Pa 231.04 Pa.upf
Ba 137.33 Ba.upf
O 16.00 O.upf
W 183.84 W.upf
CELL_PARAMETERS angstrom
6.136 0.000 0.000
0.000 6.137 0.000
0.000 0.000 8.679
ATOMIC_POSITIONS angstrom
Pa 0.000 4.603 4.340
Pa 3.068 1.534 0.000
Ba 3.068 4.603 2.169
Ba 0.000 1.534 2.171
Ba 3.068 4.603 6.511
Ba 0.000 1.534 6.508
O 1.540 0.006 4.340
O 3.068 1.534 2.178
O 4.596 0.006 4.340
O 4.596 3.062 4.340
O 4.608 6.131 0.000
O 4.608 3.075 0.000
O 0.000 4.603 6.518
O 1.540 3.062 4.340
O 1.528 6.131 0.000
O 0.000 4.603 2.162
O 1.528 3.075 0.000
O 3.068 1.534 6.501
W 0.000 4.603 0.000
W 3.068 1.534 4.340

***

Question: magnetization of number 1 (BaPa2VO8)?
Answer: 0.997 μB/cell

***

Question: The lowest raw total energy belongs to which entry?
Answer: Ba2PaWO6

***

Question: Which value of density of states at the Fermi level does entry 2 give?
Answer: 0.20 states/eV/atom